1.
Material: Mg2Cd
Method: DFT, PBE
State: optimized geometry

Output
Symmetry ... C2/c (15)
Calculated formation energy ... -1.655 kcal/mol of atoms
DOS at the Fermi energy ... 0.354 states/eV/atom

```
Mg2Cd
1.0
5.3403 -0.1223 -0.0431
2.7310 4.5909 -0.0431
2.8012 1.5509 5.2631
Mg Cd
4 2
Cartesian
7.2586 4.5679 3.8867 Mg
6.3235 2.9516 1.2551 Mg
3.6140 1.4516 1.2901 Mg
4.5491 3.0678 3.9217 Mg
3.6648 4.5568 1.2726 Cd
7.2078 1.4626 3.9042 Cd
```

---

2.
Material: Mg3Cd5
Method: DFT, PBE
State: optimized geometry

Output
Symmetry ... P6_3/mcm (193)
Calculated formation energy ... -0.023 kcal/mol of atoms
DOS at the Fermi energy ... 0.225 states/eV/atom
Polymorph energy (0 for the lowest one) ... 80 meV/atom

```
Mg3Cd5
1.0
-3.0922 -7.4629 -3.5911
-0.5745 1.2774 8.7289
-4.8983 2.3502 -0.6663
Mg Cd
6 10
Cartesian
-5.8793 -1.9581 2.5907 Mg
-3.0847 -3.9015 -2.3258 Mg
-5.4803 0.0662 6.7972 Mg
-1.5705 1.3551 5.0839 Mg
-2.6857 -1.8773 1.8808 Mg
-6.9945 -5.1904 -0.6125 Mg
-1.9050 -1.0543 -0.9559 Cd
-4.0845 -4.2369 3.8408 Cd
-4.7019 -3.3737 0.1833 Cd
-7.2138 -4.7035 2.7176 Cd
-6.3122 0.7135 3.9550 Cd
-2.2528 -4.5488 0.5164 Cd
-6.6600 -2.7810 5.4274 Cd
-4.4806 0.4015 0.6307 Cd
-1.3512 0.8682 1.7540 Cd
-3.8631 -0.4616 4.2881 Cd
```

---

3.
Material: Mg3Cd4
Method: DFT, PBE
State: optimized geometry

Output
Symmetry ... Immm (71)
Calculated formation energy ... -1.922 kcal/mol of atoms
DOS at the Fermi energy ... 0.323 states/eV/atom
Polymorph energy (0 for the lowest one) ... 0 meV/atom

```
Mg3Cd4
1.0
3.2795 0.0000 -0.4775
-0.1180 4.1927 -0.8108
-0.0490 -0.0186 11.1650
Mg Cd
3 4
Cartesian
-0.0590 2.0963 -0.4054 Mg
0.3799 2.6917 2.6094 Mg
2.7326 1.4824 7.2673 Mg
2.2960 0.8902 4.2690 Cd
1.2522 3.8750 8.6010 Cd
1.8602 0.2991 1.2757 Cd
0.8164 3.2839 5.6077 Cd
```

---

4.
Material: Mg7Cd3
Method: DFT, PBE
State: optimized geometry

Output
Symmetry ... C2/m (12)
Calculated formation energy ... -1.685 kcal/mol of atoms
DOS at the Fermi energy ... 0.277 states/eV/atom

```
Mg7Cd3
1.0
4.4813 0.0000 0.0000
0.0000 6.2218 0.0543
-2.2407 -1.9941 7.9047
Mg Cd
7 3
Cartesian
0.0000 -0.0915 3.1939 Mg
2.2407 4.6612 1.5641 Mg
0.0000 3.1109 0.0272 Mg
0.0000 2.6814 6.2852 Mg
2.2407 4.3191 4.7652 Mg
2.2407 1.5462 1.6738 Mg
0.0000 -0.4335 6.3950 Mg
0.0000 3.0496 3.1492 Cd
2.2407 1.1780 4.8099 Cd
0.0000 0.0000 0.0000 Cd
```

---

5.
Material: MgCd3
Method: DFT, PBE
State: optimized geometry

Output
Symmetry ... P4/mmm (123)
Calculated formation energy ... -0.898 kcal/mol of atoms
DOS at the Fermi energy ... 0.539 states/eV/atom
Polymorph energy (0 for the lowest one) ... 32 meV/atom

```
MgCd3
1.0
3.2000 -0.0081 0.0000
0.0080 3.2000 0.0000
0.0000 0.0000 8.6560
Cd Mg
3 1
Cartesian
1.6040 1.5960 6.4920 Cd
0.0000 0.0000 4.2774 Cd
0.0000 0.0000 0.0506 Cd
1.6040 1.5960 2.1640 Mg
```

---

6.
Material: MgMn2Cd
Method: DFT, PBE
State: optimized geometry

Output
Symmetry ... Pmmm (47)
Calculated formation energy ... 6.805 kcal/mol of atoms
DOS at the Fermi energy ... 0.905 states/eV/atom

```
MgMn2Cd
1.0
-0.6557 -1.5883 2.4048
3.7661 0.2881 1.2172
-1.3014 4.8832 2.8705
Mn Cd Mg
2 1 1
Cartesian
-0.6556 2.4599 1.4460 Mn
-1.2965 4.8649 2.8597 Mn
1.2298 0.5707 2.5286 Cd
0.5791 3.0123 3.9639 Mg
```

---

7.
Material: Mg2MnCd
Method: DFT, PBE
State: optimized geometry

Output
Symmetry ... Imm2 (44)
Calculated formation energy ... 3.177 kcal/mol of atoms
DOS at the Fermi energy ... 0.682 states/eV/atom

```
Mg2MnCd
1.0
5.5380 -0.0321 -0.0412
2.4777 4.9529 0.0412
-3.5830 -3.1524 2.8100
Mg Mn Cd
2 1 1
Cartesian
2.8885 -0.4191 1.3844 Mg
0.0408 0.0251 0.0000 Mg
3.9739 2.4396 0.0000 Mn
1.5373 2.1833 1.4256 Cd
```

---

8.
Material: Mg14MnCd
Method: DFT, PBE
State: optimized geometry

Output
Symmetry ... Amm2 (38)
Calculated formation energy ... 0.671 kcal/mol of atoms
DOS at the Fermi energy ... 0.362 states/eV/atom
Polymorph energy (0 for the lowest one) ... 3 meV/atom

```
Mg14MnCd
1.0
3.1511 -5.4392 0.0000
3.1511 5.4392 0.0000
0.0000 0.0000 10.2155
Mg Cd Mn
14 1 1
Cartesian
3.1511 -1.8398 7.6024 Mg
4.7214 -0.8983 0.0000 Mg
1.5457 0.9314 7.5396 Mg
3.1511 -1.8398 2.6131 Mg
3.1511 1.8007 0.0000 Mg
3.1511 -3.6333 0.0000 Mg
4.7211 -0.9429 5.1077 Mg
3.1511 3.6295 2.5639 Mg
1.5811 -0.9429 5.1077 Mg
4.7566 0.9314 2.6759 Mg
4.7566 0.9314 7.5396 Mg
1.5457 0.9314 2.6759 Mg
3.1511 3.6295 7.6515 Mg
1.5808 -0.8983 0.0000 Mg
3.1511 1.8141 5.1077 Cd
3.1511 -3.6044 5.1077 Mn
```

---

9.
Material: MgMn2Cd
Method: DFT, PBE
State: optimized geometry

Output
Symmetry ... F-43m (216)
Calculated formation energy ... 7.926 kcal/mol of atoms
DOS at the Fermi energy ... 1.081 states/eV/atom

```
MgMn2Cd
1.0
4.6338 0.0000 0.0000
2.3169 4.0130 0.0000
2.3169 1.3377 3.7834
Mn Cd Mg
2 1 1
Cartesian
2.3169 1.3377 0.9459 Mn
0.0000 0.0000 0.0000 Mn
4.6338 2.6753 1.8917 Cd
6.9506 4.0130 2.8376 Mg
```

---

10.
Material: MgMnCd
Method: DFT, PBE
State: optimized geometry

Output
Symmetry ... P3m1 (156)
Calculated formation energy ... 4.896 kcal/mol of atoms
DOS at the Fermi energy ... 0.657 states/eV/atom

```
MgMnCd
1.0
-1.1801 -2.1992 -3.9763
4.5113 0.3077 1.2624
-0.2396 -2.5379 1.4748
Mn Cd Mg
1 1 1
Cartesian
0.5537 -3.0939 -1.2246 Mn
-0.0035 -0.0368 0.0214 Cd
2.5414 -1.2987 -0.0359 Mg
```

---

11.
Material: MgMn2Cd
Method: DFT, PBE
State: optimized geometry

Output
Symmetry ... C2/m (12)
Calculated formation energy ... 7.407 kcal/mol of atoms
DOS at the Fermi energy ... 0.643 states/eV/atom

```
MgMn2Cd
1.0
-3.4344 2.4204 2.7332
-2.5418 0.0923 4.3191
3.0202 3.0134 2.7239
Mn Mg Cd
2 1 1
Cartesian
-2.9766 5.4981 9.7467 Mn
-1.4574 2.7911 4.9176 Mn
-2.2170 4.1446 7.3321 Mg
-0.7390 1.3815 2.4440 Cd
```

---

12.
Material: Mg2MnCd
Method: DFT, PBE
State: optimized geometry

Output
Symmetry ... C2/m (12)
Calculated formation energy ... 3.935 kcal/mol of atoms
DOS at the Fermi energy ... 0.632 states/eV/atom

```
Mg2MnCd
1.0
-0.9811 -4.8126 -1.6213
0.3606 -5.0368 1.1196
-4.7149 -0.7780 2.2444
Mg Cd Mn
2 1 1
Cartesian
-2.7085 -5.2778 0.8942 Mg
-4.6741 -0.8140 2.2215 Mg
-1.3339 -2.6569 0.4357 Cd
-4.0016 -7.9706 1.3070 Mn
```

---

13.
Material: MgMnCd3
Method: DFT, PBE
State: optimized geometry

Output
Symmetry ... Pm-3m (221)
Calculated formation energy ... 12.287 kcal/mol of atoms
DOS at the Fermi energy ... 1.042 states/eV/atom
Polymorph energy (0 for the lowest one) ... 0 meV/atom

```
MgMnCd3
1.0
-2.8107 2.9020 3.2050
-3.3024 1.0264 -3.8255
-2.7906 -4.1375 1.2990
Cd Mg Mn
3 1 1
Cartesian
-1.3953 -2.0687 0.6495 Cd
-1.6512 0.5132 -1.9127 Cd
-1.4053 1.4510 1.6025 Cd
-4.4519 -0.1045 0.3393 Mg
0.0000 0.0000 0.0000 Mn
```

---

14.
Material: Mg2MnCd
Method: DFT, PBE
State: optimized geometry

Output
Symmetry ... F-43m (216)
Calculated formation energy ... 2.720 kcal/mol of atoms
DOS at the Fermi energy ... 0.560 states/eV/atom

```
Mg2MnCd
1.0
4.7651 0.0000 0.0000
2.3825 4.1267 0.0000
2.3825 1.3756 3.8907
Cd Mn Mg
1 1 2
Cartesian
4.7651 2.7511 1.9453 Cd
2.3825 1.3756 0.9727 Mn
7.1476 4.1267 2.9180 Mg
0.0000 0.0000 0.0000 Mg
```

---

15.
Material: Mg2MnCd
Method: DFT, PBE
State: optimized geometry

Output
Symmetry ... Pmmm (47)
Calculated formation energy ... 2.546 kcal/mol of atoms
DOS at the Fermi energy ... 0.655 states/eV/atom

```
Mg2MnCd
1.0
-1.5364 -3.4054 -1.9579
2.4324 -2.5750 2.5700
-3.1137 -0.1837 2.7630
Cd Mg Mn
1 2 1
Cartesian
-0.3407 -1.3794 2.6665 Cd
0.0000 0.0000 0.0000 Mg
0.4480 -2.9902 0.3060 Mg
-2.3251 -1.7946 0.4025 Mn
```

---

16.
Material: Mg2MnCd
Method: DFT, PBE
State: optimized geometry

Output
Symmetry ... Cm (8)
Calculated formation energy ... 3.372 kcal/mol of atoms
DOS at the Fermi energy ... 0.624 states/eV/atom

```
Mg2MnCd
1.0
5.2400 -0.0751 -0.0792
4.3593 2.9086 -0.0792
1.0991 0.3244 5.0193
Mg Cd Mn
2 1 1
Cartesian
8.0869 2.3871 3.5589 Mg
9.5682 2.8243 -0.1215 Mg
2.6128 0.7712 1.2401 Cd
5.3789 1.5877 2.4552 Mn
```

---

17.
Material: MgMnCd
Method: DFT, PBE
State: optimized geometry

Output
Symmetry ... Imm2 (44)
Calculated formation energy ... 4.619 kcal/mol of atoms
DOS at the Fermi energy ... 0.601 states/eV/atom

```
MgMnCd
1.0
5.1153 0.0035 0.0077
2.4349 4.4986 -0.0077
-3.3053 -3.0389 2.4507
Cd Mn Mg
1 1 1
Cartesian
0.0231 0.0138 0.0000 Cd
5.0349 3.0023 0.0000 Mn
2.4921 1.4860 0.0000 Mg
```

---

18.
Material: Mg2MnCd
Method: DFT, PBE
State: optimized geometry

Output
Symmetry ... Pmm2 (25)
Calculated formation energy ... 3.013 kcal/mol of atoms
DOS at the Fermi energy ... 0.512 states/eV/atom

```
Mg2MnCd
1.0
-3.2225 0.4386 0.4786
-0.6651 -3.2232 -1.5243
0.4816 -2.8817 5.8835
Cd Mg Mn
1 2 1
Cartesian
-1.5920 -3.4976 3.7755 Cd
0.4790 -2.8664 5.8523 Mg
-1.8110 -2.1872 1.1001 Mg
0.2403 -1.4377 2.9352 Mn
```

---

19.
Material: MgMnCd
Method: DFT, PBE
State: optimized geometry

Output
Symmetry ... F-43m (216)
Calculated formation energy ... 10.564 kcal/mol of atoms
DOS at the Fermi energy ... 1.283 states/eV/atom

```
MgMnCd
1.0
-1.2633 -1.7432 -4.0706
2.4666 -3.3798 -1.9227
-1.7295 -4.2608 -0.2432
Mn Cd Mg
1 1 1
Cartesian
-0.2631 -4.6919 -3.1182 Mn
-0.3946 -7.0379 -4.6773 Cd
0.0000 0.0000 0.0000 Mg
```

---

20.
Material: Mg2MnCd
Method: DFT, PBE
State: optimized geometry

Output
Symmetry ... R-3m (166)
Calculated formation energy ... 4.378 kcal/mol of atoms
DOS at the Fermi energy ... 0.742 states/eV/atom

```
Mg2MnCd
1.0
-6.1076 -7.3799 -3.3055
-3.9040 -7.6403 -5.3924
-3.6382 -9.0612 -2.7112
Mg Cd Mn
2 1 1
Cartesian
-13.5477 -23.9012 -11.3237 Mg
-6.9270 -12.2209 -5.7899 Mg
-10.2374 -18.0610 -8.5568 Cd
-3.4125 -6.0203 -2.8523 Mn
```